Li6Br3N | Alexandria | GGA-PBEsol | optimized geometry; energy above the most stable polymorph in this dataset = 0.000 eV per atom; M_tot = 1.039 μB per cell; energy relative to the elements, uncorrected = -11.05 eV per formula unit; space-group type = Ibca (73)
1.0
-5.9391 -4.4484 8.5106
1.3155 -10.3986 -4.5172
11.7553 6.0640 3.8828
Br Li N
24 48 8
direct
0.2806 0.2500 0.5000 Br
0.1373 0.8873 0.2746 Br
0.7194 0.7500 0.5000 Br
0.3567 0.6383 0.2553 Br
0.6014 0.8617 0.7447 Br
0.8627 0.1127 0.7254 Br
0.7806 0.2500 0.5000 Br
0.2500 0.2292 0.0000 Br
0.2194 0.7500 0.5000 Br
0.1433 0.3830 0.7447 Br
0.6433 0.3617 0.7447 Br
0.3860 0.1360 0.7719 Br
0.8860 0.6360 0.7719 Br
0.7500 0.7708 0.0000 Br
0.6140 0.8640 0.2281 Br
0.8986 0.1170 0.2553 Br
0.7500 0.2708 0.0000 Br
0.2500 0.7292 0.0000 Br
0.1014 0.8830 0.7447 Br
0.3986 0.1383 0.2553 Br
0.1140 0.3640 0.2281 Br
0.6373 0.3873 0.2746 Br
0.3627 0.6127 0.7254 Br
0.8567 0.6170 0.2553 Br
0.6234 0.4494 0.1143 Li
0.8331 0.8791 0.8914 Li
0.5718 0.0749 0.9276 Li
0.5474 0.8705 0.3859 Li
0.3754 0.0484 0.3856 Li
0.9909 0.9494 0.1143 Li
0.8538 0.5782 0.4382 Li
0.3538 0.8600 0.4382 Li
0.8754 0.3371 0.3856 Li
0.1614 0.9845 0.6141 Li
0.4526 0.1295 0.6141 Li
0.5102 0.5484 0.3856 Li
0.8766 0.3350 0.8857 Li
0.3559 0.3527 0.9276 Li
0.1234 0.6650 0.1143 Li
0.0843 0.0782 0.4382 Li
0.3386 0.3705 0.3859 Li
0.1441 0.4251 0.0724 Li
0.1246 0.6629 0.6144 Li
0.1669 0.1209 0.1086 Li
0.6669 0.9877 0.1086 Li
0.9157 0.9218 0.5618 Li
0.6614 0.6295 0.6141 Li
0.0091 0.0506 0.8857 Li
0.6246 0.9516 0.6144 Li
0.6462 0.1400 0.5618 Li
0.0718 0.8527 0.9276 Li
0.4157 0.6400 0.5618 Li
0.5584 0.3791 0.8914 Li
0.9282 0.1473 0.0724 Li
0.4898 0.4516 0.6144 Li
0.0474 0.5155 0.3859 Li
0.8386 0.0155 0.3859 Li
0.3331 0.0123 0.8914 Li
0.3766 0.5506 0.8857 Li
0.0584 0.5123 0.8914 Li
0.8559 0.5749 0.9276 Li
0.5843 0.3600 0.4382 Li
0.9898 0.1629 0.6144 Li
0.4416 0.6209 0.1086 Li
0.0102 0.8371 0.3856 Li
0.1462 0.4218 0.5618 Li
0.4909 0.1650 0.1143 Li
0.9526 0.4845 0.6141 Li
0.6441 0.6473 0.0724 Li
0.9416 0.4877 0.1086 Li
0.5091 0.8350 0.8857 Li
0.4282 0.9251 0.0724 Li
0.0000 0.0000 0.5000 N
0.5000 0.0000 0.0000 N
0.5000 0.5000 0.5000 N
0.0000 0.0000 0.0000 N
0.0000 0.5000 0.5000 N
0.5000 0.0000 0.5000 N
0.5000 0.5000 0.0000 N
0.0000 0.5000 0.0000 N

***

Li6Br3N | Alexandria | GGA-PBEsol | optimized geometry; energy above the most stable polymorph in this dataset = 0.044 eV per atom; M_tot = 0.135 μB per cell; energy relative to the elements, uncorrected = -10.61 eV per formula unit; space-group type = Fm-3m (225)
1.0
-0.5887 4.6005 -4.2238
-5.6855 1.6303 -2.0902
-2.5017 5.5012 1.6821
Li Br N
6 3 1
direct
0.2870 0.7130 0.7130 Li
0.7130 0.2870 0.2870 Li
0.2870 0.2870 0.7130 Li
0.2870 0.7130 0.2870 Li
0.7130 0.7130 0.2870 Li
0.7130 0.2870 0.7130 Li
0.7500 0.7500 0.7500 Br
0.2500 0.2500 0.2500 Br
0.0000 0.0000 0.0000 Br
0.5000 0.5000 0.5000 N

***

Li6Br3N | Alexandria | GGA-PBEsol | optimized geometry; energy above the most stable polymorph in this dataset = 0.004 eV per atom; M_tot = 0.241 μB per cell; energy relative to the elements, uncorrected = -11.01 eV per formula unit; space-group type = P2_1/c (14)
1.0
-2.6256 -3.8635 4.0210
2.1706 -4.8970 -3.2878
7.3758 -0.0166 4.8943
Li Br N
12 6 2
direct
0.6648 0.2631 0.4232 Li
0.3352 0.7369 0.5768 Li
0.1648 0.2369 0.9232 Li
0.8352 0.7631 0.0768 Li
0.7513 0.6701 0.4648 Li
0.7487 0.1701 0.0352 Li
0.8993 0.9336 0.8004 Li
0.1007 0.0664 0.1996 Li
0.3993 0.5664 0.3004 Li
0.2487 0.3299 0.5352 Li
0.2513 0.8299 0.9648 Li
0.6007 0.4336 0.6996 Li
0.0089 0.5239 0.7434 Br
0.4911 0.0239 0.7566 Br
0.5000 0.5000 0.0000 Br
0.9911 0.4761 0.2566 Br
0.0000 0.0000 0.5000 Br
0.5089 0.9761 0.2434 Br
0.5000 0.5000 0.5000 N
0.0000 0.0000 0.0000 N

***

LiBr2N2 | Alexandria | GGA-PBEsol | optimized geometry; M_tot = 0.005 μB per cell; energy relative to the elements, uncorrected = -0.92 eV per formula unit; space-group type = I4/mmm (139)
1.0
4.8752 0.0000 0.0000
-2.4376 5.1570 0.2139
0.0000 -2.4784 4.1982
N Br Li
2 2 1
direct
0.5614 0.1228 0.5614 N
0.4386 0.8772 0.4386 N
0.2500 0.5000 0.7500 Br
0.7500 0.5000 0.2500 Br
0.0000 0.0000 0.0000 Li